A) Computed, not measured: crystalline LaZrSi at its relaxed geometry at the PBE level of DFT.

Cell lengths 4.622, 4.622, 4.180 Å; angles 90.00, 90.00, 120.00 degrees
Sites, in units of the cell vectors:
Si (0.667, 0.333, 0.461)
La (0.000, 0.000, 0.015)
Zr (0.333, 0.667, 0.523)

Fermi-level density of states in states/eV per atom: 1.206

B) Computed, not measured: crystalline LaZrSi at its relaxed geometry at the PBE level of DFT.

Cell lengths 4.939, 4.939, 4.939 Å; angles 60.00, 60.00, 60.00 degrees
Sites, in units of the cell vectors:
Si (0.000, 0.000, 0.000)
La (0.750, 0.750, 0.750)
Zr (0.500, 0.500, 0.500)

Fermi-level density of states in states/eV per atom: 1.337

Which one is the most stable? From the structures above, A).